# Ta4FeAu (PBE, optimized geometry)
data_Ta4FeAu
_cell_length_a 7.613
_cell_length_b 7.613
_cell_length_c 7.613
_cell_angle_alpha 90.00
_cell_angle_beta 90.00
_cell_angle_gamma 90.00
_space_group_name_H-M_alt 'F -4 3 m'
_space_group_IT_number 216
_space_group_name_Hall 'F -4 2 3'
loop_
_atom_site_label
_atom_site_type_symbol
_atom_site_fract_x
_atom_site_fract_y
_atom_site_fract_z
Ta1 Ta 0.124 0.124 0.376
Fe1 Fe 0.250 0.250 0.750
Au1 Au 0.000 0.000 0.000
# energy of formation from the pure elements	530	meV/atom

# Sr4PH5 (PBE, optimized geometry)
data_Sr4PH5
_cell_length_a 13.794
_cell_length_b 4.155
_cell_length_c 7.196
_cell_angle_alpha 90.00
_cell_angle_beta 102.41
_cell_angle_gamma 90.00
_space_group_name_H-M_alt 'C 1 2/m 1'
_space_group_IT_number 12
loop_
_space_group_symop_operation_xyz
'x,y,z'
'-x,-y,-z'
'-x,y,-z'
'x,-y,z'
'x+1/2,y+1/2,z'
'-x+1/2,-y+1/2,-z'
'-x+1/2,y+1/2,-z'
'x+1/2,-y+1/2,z'
loop_
_atom_site_label
_atom_site_type_symbol
_atom_site_fract_x
_atom_site_fract_y
_atom_site_fract_z
Sr1 Sr 0.119 0.000 0.350
Sr2 Sr 0.145 0.500 0.862
P1 P 0.000 0.500 0.500
H1 H 0.000 0.500 0.000
H2 H 0.171 0.000 0.040
H3 H 0.247 0.000 0.683
# calculated total energy	-70.5	eV/cell

# Nb3S3O (PBE, optimized geometry)
data_Nb3S3O
_cell_length_a 7.5546
_cell_length_b 7.5546
_cell_length_c 4.9019
_cell_angle_alpha 90.00
_cell_angle_beta 90.00
_cell_angle_gamma 120.00
_space_group_name_H-M_alt 'P 63/m m c'
_space_group_IT_number 194
_space_group_name_Hall '-P 6c 2c'
loop_
_atom_site_label
_atom_site_type_symbol
_atom_site_fract_x
_atom_site_fract_y
_atom_site_fract_z
Nb1 Nb 0.1731 0.3462 0.2500
S1 S 0.1962 0.3924 0.7500
O1 O 0.3333 0.6667 0.2500
# ΔE_f (raw)	-1010	meV/atom

# MgBeRh2 (PBE, optimized geometry)
data_MgBeRh2
_cell_length_a 3.594
_cell_length_b 3.594
_cell_length_c 8.308
_cell_angle_alpha 90.00
_cell_angle_beta 90.00
_cell_angle_gamma 90.00
_space_group_name_H-M_alt 'I -4 m 2'
_space_group_IT_number 119
_space_group_name_Hall 'I -4 -2'
loop_
_atom_site_label
_atom_site_type_symbol
_atom_site_fract_x
_atom_site_fract_y
_atom_site_fract_z
Mg1 Mg 0.000 0.000 0.000
Be1 Be 0.000 0.500 0.250
Rh1 Rh 0.000 0.000 0.500
Rh2 Rh 0.000 0.500 0.750
# relative energy among the computed polymorphs	25.7	kJ per mole of atoms
# energy of formation from the pure elements	-222	meV/atom

# LiW3Cl (PBE, optimized geometry)
data_LiW3Cl
_cell_length_a 4.415
_cell_length_b 4.415
_cell_length_c 4.415
_cell_angle_alpha 90.00
_cell_angle_beta 90.00
_cell_angle_gamma 90.00
_space_group_name_H-M_alt 'P m -3 m'
_space_group_IT_number 221
_space_group_name_Hall '-P 4 2 3'
loop_
_atom_site_label
_atom_site_type_symbol
_atom_site_fract_x
_atom_site_fract_y
_atom_site_fract_z
Li1 Li 0.000 0.000 0.000
W1 W 0.000 0.500 0.500
Cl1 Cl 0.500 0.500 0.500
# ΔE_f (raw)	1538	meV/atom
# relative energy among the computed polymorphs	0.0	kJ per mole of atoms

# Cu7Ge2Au3 (PBE, optimized geometry)
data_Cu7Ge2Au3
_cell_length_a 4.350
_cell_length_b 2.846
_cell_length_c 14.553
_cell_angle_alpha 90.00
_cell_angle_beta 90.87
_cell_angle_gamma 90.00
_space_group_name_H-M_alt 'P 1 2/m 1'
_space_group_IT_number 10
loop_
_space_group_symop_operation_xyz
'x,y,z'
'-x,-y,-z'
'-x,y,-z'
'x,-y,z'
loop_
_atom_site_label
_atom_site_type_symbol
_atom_site_fract_x
_atom_site_fract_y
_atom_site_fract_z
Cu1 Cu 0.000 0.000 0.000
Cu2 Cu 0.126 0.500 0.850
Cu3 Cu 0.248 0.500 0.454
Cu4 Cu 0.373 0.000 0.151
Ge1 Ge 0.258 0.500 0.286
Au1 Au 0.252 0.000 0.615
Au2 Au 0.500 0.500 0.000
# energy of formation from the pure elements	73	meV/atom

# InSe2SF (PBE, optimized geometry)
data_InSe2SF
_cell_length_a 4.254
_cell_length_b 4.254
_cell_length_c 6.783
_cell_angle_alpha 90.00
_cell_angle_beta 90.00
_cell_angle_gamma 90.00
_space_group_name_H-M_alt 'P 4/m m m'
_space_group_IT_number 123
_space_group_name_Hall '-P 4 2'
loop_
_atom_site_label
_atom_site_type_symbol
_atom_site_fract_x
_atom_site_fract_y
_atom_site_fract_z
In1 In 0.000 0.000 0.000
Se1 Se 0.000 0.500 0.500
S1 S 0.500 0.500 0.000
F1 F 0.500 0.500 0.500
# ΔE_f (raw)	228	meV/atom
# relative energy among the computed polymorphs	17.6	kJ per mole of atoms

# Pr8Ga2Ag3 (PBE, optimized geometry)
data_Pr8Ga2Ag3
_cell_length_a 10.242
_cell_length_b 15.307
_cell_length_c 5.108
_cell_angle_alpha 90.00
_cell_angle_beta 90.00
_cell_angle_gamma 90.00
_space_group_name_H-M_alt 'C m m m'
_space_group_IT_number 65
_space_group_name_Hall '-C 2 2'
loop_
_atom_site_label
_atom_site_type_symbol
_atom_site_fract_x
_atom_site_fract_y
_atom_site_fract_z
Pr1 Pr 0.000 0.123 0.000
Pr2 Pr 0.000 0.365 0.000
Pr3 Pr 0.245 0.129 0.500
Ga1 Ga 0.000 0.248 0.500
Ag1 Ag 0.000 0.500 0.500
Ag2 Ag 0.242 0.500 0.000
# energy of formation from the pure elements	-158	meV/atom

# GaPHIrPtS (PBE, optimized geometry)
data_GaPHIrPtS
_cell_length_a 4.724
_cell_length_b 3.627
_cell_length_c 5.758
_cell_angle_alpha 90.00
_cell_angle_beta 99.36
_cell_angle_gamma 90.00
_space_group_name_H-M_alt 'P 1 m 1'
_space_group_IT_number 6
loop_
_space_group_symop_operation_xyz
'x,y,z'
'x,-y,z'
loop_
_atom_site_label
_atom_site_type_symbol
_atom_site_fract_x
_atom_site_fract_y
_atom_site_fract_z
Ga1 Ga 0.000 0.000 0.000
P1 P 0.466 0.500 0.690
H1 H 0.230 0.000 0.322
Ir1 Ir 0.169 0.000 0.602
Pt1 Pt 0.660 0.500 0.075
S1 S 0.823 0.500 0.488
# relative energy among the computed polymorphs	0.0	kJ per mole of atoms

# CaMnRe2Ag (PBE, optimized geometry)
data_CaMnRe2Ag
_cell_length_a 4.891
_cell_length_b 4.891
_cell_length_c 4.961
_cell_angle_alpha 90.00
_cell_angle_beta 90.00
_cell_angle_gamma 90.00
_space_group_name_H-M_alt 'P 4/m m m'
_space_group_IT_number 123
_space_group_name_Hall '-P 4 2'
loop_
_atom_site_label
_atom_site_type_symbol
_atom_site_fract_x
_atom_site_fract_y
_atom_site_fract_z
Ca1 Ca 0.000 0.000 0.000
Mn1 Mn 0.500 0.500 0.000
Re1 Re 0.000 0.500 0.500
Ag1 Ag 0.000 0.000 0.500
# energy of formation from the pure elements	2669	meV/atom

# KTl6Pb2 (PBE, optimized geometry)
data_KTl6Pb2
_cell_length_a 10.488
_cell_length_b 10.488
_cell_length_c 5.175
_cell_angle_alpha 90.00
_cell_angle_beta 90.00
_cell_angle_gamma 90.00
_space_group_name_H-M_alt 'P 42/m n m'
_space_group_IT_number 136
_space_group_name_Hall '-P 4n 2n'
loop_
_atom_site_label
_atom_site_type_symbol
_atom_site_fract_x
_atom_site_fract_y
_atom_site_fract_z
K1 K 0.000 0.000 0.000
Tl1 Tl 0.009 0.340 0.000
Tl2 Tl 0.165 0.835 0.500
Pb1 Pb 0.186 0.186 0.500
# relative energy among the computed polymorphs	0.0	kJ per mole of atoms
# energy of formation from the pure elements	-28	meV/atom

# Mn5Ir (PBE, optimized geometry)
data_Mn5Ir
_cell_length_a 4.062
_cell_length_b 2.580
_cell_length_c 13.172
_cell_angle_alpha 90.00
_cell_angle_beta 90.00
_cell_angle_gamma 90.00
_space_group_name_H-M_alt 'A m m 2'
_space_group_IT_number 38
loop_
_space_group_symop_operation_xyz
'x,y,z'
'-x,-y,z'
'-x,y,z'
'x,-y,z'
'x,y+1/2,z+1/2'
'-x,-y+1/2,z+1/2'
'-x,y+1/2,z+1/2'
'x,-y+1/2,z+1/2'
loop_
_atom_site_label
_atom_site_type_symbol
_atom_site_fract_x
_atom_site_fract_y
_atom_site_fract_z
Mn1 Mn 0.000 0.000 0.000
Mn2 Mn 0.000 0.000 0.322
Mn3 Mn 0.000 0.000 0.661
Mn4 Mn 0.500 0.000 0.211
Mn5 Mn 0.500 0.000 0.552
Ir1 Ir 0.500 0.000 0.881
# relative energy among the computed polymorphs	7.1	kJ per mole of atoms
# energy of formation from the pure elements	-33	meV/atom